Record 1
Density functional theory data (PBE-GGA) for a relaxed structure of ZnBAs3.

Cell: 4.434 4.434 4.434 Å, 90.00 90.00 90.00°
Atoms (fractional coordinates):
Zn 0.500 0.500 0.500
As 0.000 0.500 0.000
B 0.000 0.000 0.000
As 0.500 0.000 0.000
As 0.000 0.000 0.500

## Properties
space group: Pm-3m (221)
formation energy from the elements: 788 meV/atom
E above lowest polymorph: 0.000 eV/atom
magnetic moment: 0.00 μB/f.u.
calculated density: 5.7 Mg/m³

=====

Record 2
Density functional theory data (PBE-GGA) for a relaxed structure of ZnBAs3.

Cell: 4.824 4.824 4.824 Å, 90.00 90.00 90.00°
Atoms (fractional coordinates):
As 0.500 0.000 0.000
As 0.000 0.000 0.500
B 0.500 0.500 0.500
Zn 0.000 0.000 0.000
As 0.000 0.500 0.000

## Properties
space group: Pm-3m (221)
formation energy from the elements: 1548 meV/atom
E above lowest polymorph: 0.760 eV/atom
magnetic moment: 0.00 μB/f.u.
calculated density: 4.5 Mg/m³

=====

Record 3
Density functional theory data (PBE-GGA) for a relaxed structure of ZnB2As.

Cell: 4.089 4.089 4.089 Å, 60.00 60.00 60.00°
Atoms (fractional coordinates):
B 0.750 0.750 0.750
Zn 0.000 0.000 0.000
As 0.500 0.500 0.500
B 0.250 0.250 0.250

## Properties
space group: Fm-3m (225)
formation energy from the elements: 1419 meV/atom
E above lowest polymorph: 0.697 eV/atom
magnetic moment: 0.00 μB/f.u.
calculated density: 5.6 Mg/m³

=====

Record 4
Density functional theory data (PBE-GGA) for a relaxed structure of Zn3BAs.

Cell: 4.836 4.836 4.836 Å, 90.00 90.00 90.00°
Atoms (fractional coordinates):
Zn 0.500 0.000 0.000
Zn 0.000 0.000 0.500
Zn 0.000 0.500 0.000
B 0.500 0.500 0.500
As 0.000 0.000 0.000

## Properties
space group: Pm-3m (221)
formation energy from the elements: 1265 meV/atom
E above lowest polymorph: 0.840 eV/atom
magnetic moment: 0.00 μB/f.u.
calculated density: 4.1 Mg/m³

=====

Record 5
Density functional theory data (PBE-GGA) for a relaxed structure of ZnB2As.

Cell: 5.054 5.054 5.745 Å, 63.90 63.90 90.00°
Atoms (fractional coordinates):
B 0.104 0.625 0.250
As 0.750 0.250 0.500
B 0.875 0.896 0.750
Zn 0.250 0.750 0.500
As 0.000 0.000 0.000
Zn 0.500 0.500 0.000
B 0.375 0.354 0.750
B 0.646 0.125 0.250

## Properties
space group: I-42d (122)
formation energy from the elements: 722 meV/atom
E above lowest polymorph: 0.000 eV/atom
magnetic moment: 0.00 μB/f.u.
calculated density: 4.7 Mg/m³

=====

Record 6
Density functional theory data (PBE-GGA) for a relaxed structure of Zn3BAs.

Cell: 4.260 4.260 4.260 Å, 90.00 90.00 90.00°
Atoms (fractional coordinates):
Zn 0.500 0.000 0.000
As 0.500 0.500 0.500
Zn 0.000 0.500 0.000
Zn 0.000 0.000 0.500
B 0.000 0.000 0.000

## Properties
space group: Pm-3m (221)
formation energy from the elements: 424 meV/atom
E above lowest polymorph: 0.000 eV/atom
magnetic moment: 0.00 μB/f.u.
calculated density: 6.1 Mg/m³

=====

Record 7
Density functional theory data (PBE-GGA) for a relaxed structure of Zr2ZnBAs.

Cell: 5.008 4.414 5.008 Å, 90.00 90.00 90.00°
Atoms (fractional coordinates):
Zr 0.000 0.000 0.500
As 0.000 0.000 0.000
Zr 0.500 0.000 0.000
B 0.500 0.500 0.500
Zn 0.000 0.500 0.000

## Properties
space group: P4/mmm (123)
formation energy from the elements: 912 meV/atom
magnetic moment: 0.00 μB/f.u.
calculated density: 5.0 Mg/m³

=====

Record 8
Density functional theory data (PBE-GGA) for a relaxed structure of ZrB3As.

Cell: 4.061 4.061 4.061 Å, 90.00 90.00 90.00°
Atoms (fractional coordinates):
B 0.000 0.500 0.000
As 0.000 0.000 0.000
Zr 0.500 0.500 0.500
B 0.500 0.000 0.000
B 0.000 0.000 0.500

## Properties
space group: Pm-3m (221)
formation energy from the elements: 1335 meV/atom
E above lowest polymorph: 0.000 eV/atom
magnetic moment: 0.00 μB/f.u.
calculated density: 4.9 Mg/m³

=====

Record 9
Density functional theory data (PBE-GGA) for a relaxed structure of ZrBAs3.

Cell: 4.441 4.441 4.441 Å, 90.00 90.00 90.00°
Atoms (fractional coordinates):
B 0.000 0.000 0.000
Zr 0.500 0.500 0.500
As 0.000 0.500 0.000
As 0.500 0.000 0.000
As 0.000 0.000 0.500

## Properties
space group: Pm-3m (221)
formation energy from the elements: 414 meV/atom
E above lowest polymorph: 0.000 eV/atom
magnetic moment: 0.00 μB/f.u.
calculated density: 6.2 Mg/m³

=====

Record 10
Density functional theory data (PBE-GGA) for a relaxed structure of ZrBAs.

Cell: 4.616 3.136 6.719 Å, 90.00 97.46 90.00°
Atoms (fractional coordinates):
As 0.180 0.250 0.258
B 0.477 0.250 0.046
As 0.820 0.750 0.742
Zr 0.701 0.750 0.321
B 0.523 0.750 0.954
Zr 0.299 0.250 0.679

## Properties
space group: P2_1/m (11)
formation energy from the elements: -504 meV/atom
E above lowest polymorph: 0.222 eV/atom
magnetic moment: 0.00 μB/f.u.
calculated density: 6.1 Mg/m³

=====

Record 11
Density functional theory data (PBE-GGA) for a relaxed structure of ZrBAs.

Cell: 3.628 3.360 8.475 Å, 90.00 90.27 90.00°
Atoms (fractional coordinates):
B 0.999 0.250 0.951
B 0.001 0.750 0.049
As 0.003 0.750 0.309
Zr 0.502 0.250 0.161
Zr 0.498 0.750 0.839
As 0.997 0.250 0.691

## Properties
space group: P2_1/m (11)
formation energy from the elements: -704 meV/atom
E above lowest polymorph: 0.022 eV/atom
magnetic moment: 0.00 μB/f.u.
calculated density: 5.7 Mg/m³

=====

Record 12
Density functional theory data (PBE-GGA) for a relaxed structure of ZrBAs.

Cell: 3.622 14.942 3.353 Å, 90.00 90.00 90.00°
Atoms (fractional coordinates):
B 0.500 0.474 0.250
Zr 0.000 0.593 0.250
B 0.500 0.526 0.750
B 0.000 0.974 0.250
Zr 0.500 0.093 0.250
As 0.000 0.824 0.250
B 0.000 0.026 0.750
Zr 0.000 0.407 0.750
Zr 0.500 0.907 0.750
As 0.500 0.676 0.750
As 0.500 0.324 0.250
As 0.000 0.176 0.750

## Properties
space group: Cmcm (63)
formation energy from the elements: -726 meV/atom
E above lowest polymorph: 0.000 eV/atom
magnetic moment: 0.00 μB/f.u.
calculated density: 6.5 Mg/m³

=====

Record 13
Density functional theory data (PBE-GGA) for a relaxed structure of ZrB2As.

Cell: 5.962 5.962 5.228 Å, 55.24 55.24 90.00°
Atoms (fractional coordinates):
B 0.375 0.427 0.750
B 0.573 0.125 0.250
Zr 0.750 0.250 0.500
As 0.500 0.500 0.000
Zr 0.000 0.000 0.000
As 0.250 0.750 0.500
B 0.875 0.823 0.750
B 0.177 0.625 0.250

## Properties
space group: I-42d (122)
formation energy from the elements: 241 meV/atom
magnetic moment: 0.00 μB/f.u.
calculated density: 5.7 Mg/m³

=====

Record 14
Density functional theory data (PBE-GGA) for a relaxed structure of ZrB3As.

Cell: 4.455 4.455 4.455 Å, 90.00 90.00 90.00°
Atoms (fractional coordinates):
As 0.500 0.500 0.500
Zr 0.000 0.000 0.000
B 0.000 0.500 0.000
B 0.500 0.000 0.000
B 0.000 0.000 0.500

## Properties
space group: Pm-3m (221)
formation energy from the elements: 1917 meV/atom
E above lowest polymorph: 0.582 eV/atom
magnetic moment: 0.00 μB/f.u.
calculated density: 3.7 Mg/m³

=====

Record 15
Density functional theory data (PBE-GGA) for a relaxed structure of ZrBAs.

Cell: 3.172 5.467 5.849 Å, 87.92 89.52 73.45°
Atoms (fractional coordinates):
Zr 0.136 0.244 0.192
As 0.405 0.691 0.218
B 0.715 0.071 0.497
B 0.285 0.929 0.503
As 0.595 0.309 0.782
Zr 0.864 0.756 0.808

## Properties
space group: P-1 (2)
formation energy from the elements: -488 meV/atom
E above lowest polymorph: 0.238 eV/atom
magnetic moment: 0.00 μB/f.u.
calculated density: 6.0 Mg/m³

=====

Record 16
Density functional theory data (PBE-GGA) for a relaxed structure of ZrBAs.

Cell: 4.461 3.585 12.629 Å, 90.00 110.39 90.00°
Atoms (fractional coordinates):
B 0.820 0.500 0.500
As 0.633 0.500 0.633
B 0.180 0.500 0.500
B 0.180 0.000 0.000
Zr 0.862 0.500 0.861
Zr 0.138 0.500 0.139
B 0.820 0.000 0.000
Zr 0.138 0.000 0.639
As 0.367 0.000 0.867
Zr 0.862 0.000 0.361
As 0.633 0.000 0.133
As 0.367 0.500 0.367

## Properties
space group: C2/m (12)
formation energy from the elements: -428 meV/atom
E above lowest polymorph: 0.298 eV/atom
magnetic moment: 0.00 μB/f.u.
calculated density: 6.2 Mg/m³

=====

Record 17
Density functional theory data (PBE-GGA) for a relaxed structure of ZrBAs.

Cell: 3.571 3.571 8.792 Å, 106.47 106.47 92.87°
Atoms (fractional coordinates):
Zr 0.990 0.990 0.322
As 0.372 0.372 0.165
B 0.567 0.567 0.426
As 0.628 0.628 0.835
B 0.433 0.433 0.574
Zr 0.010 0.010 0.678

## Properties
space group: C2/m (12)
formation energy from the elements: -459 meV/atom
E above lowest polymorph: 0.267 eV/atom
magnetic moment: 0.00 μB/f.u.
calculated density: 5.8 Mg/m³

=====

Record 18
Density functional theory data (PBE-GGA) for a relaxed structure of ZrBAs.

Cell: 4.420 3.189 7.225 Å, 90.00 95.19 90.00°
Atoms (fractional coordinates):
As 0.332 0.500 0.493
As 0.794 0.000 0.863
B 0.007 0.500 0.244
Zr 0.825 0.000 0.471
B 0.992 0.000 0.142
Zr 0.468 0.500 0.103

## Properties
space group: Pm (6)
formation energy from the elements: -449 meV/atom
E above lowest polymorph: 0.277 eV/atom
magnetic moment: 0.00 μB/f.u.
calculated density: 5.8 Mg/m³

=====

Record 19
Density functional theory data (PBE-GGA) for a relaxed structure of ZrBAs.

Cell: 7.217 3.284 8.257 Å, 90.00 97.79 90.00°
Atoms (fractional coordinates):
Zr 0.091 0.000 0.911
As 0.840 0.000 0.177
Zr 0.091 0.500 0.411
As 0.840 0.500 0.677
B 0.207 0.000 0.650
B 0.207 0.500 0.150
As 0.423 0.000 0.513
B 0.142 0.500 0.702
Zr 0.611 0.500 0.338
Zr 0.611 0.000 0.838
B 0.142 0.000 0.202
As 0.423 0.500 0.013

## Properties
space group: Cm (8)
formation energy from the elements: -422 meV/atom
E above lowest polymorph: 0.304 eV/atom
magnetic moment: 0.00 μB/f.u.
calculated density: 6.1 Mg/m³

=====

Record 20
Density functional theory data (PBE-GGA) for a relaxed structure of ZrBAs.

Cell: 3.359 3.771 15.987 Å, 90.00 90.00 90.00°
Atoms (fractional coordinates):
As 0.500 0.500 0.940
As 0.000 0.500 0.635
Zr 0.500 0.000 0.568
Zr 0.000 0.000 0.862
As 0.000 0.000 0.440
B 0.500 0.000 0.265
Zr 0.000 0.500 0.068
Zr 0.500 0.500 0.362
B 0.000 0.500 0.765
B 0.000 0.000 0.304
As 0.500 0.000 0.135
B 0.500 0.500 0.804

## Properties
space group: Imm2 (44)
formation energy from the elements: -459 meV/atom
E above lowest polymorph: 0.267 eV/atom
magnetic moment: 0.00 μB/f.u.
calculated density: 5.8 Mg/m³